# 1
BaLiEuZn (GGA-PBE, relaxed); energy of formation from the pure elements = -0.048 eV/atom; space-group type = F-43m (216)
1.0
8.093 0.000 0.000
0.000 8.093 0.000
0.000 0.000 8.093
Ba Li Eu Zn
4 4 4 4
direct
0.000 0.000 0.000 Ba
0.000 0.500 0.500 Ba
0.500 0.000 0.500 Ba
0.500 0.500 0.000 Ba
0.250 0.250 0.750 Li
0.250 0.750 0.250 Li
0.750 0.250 0.250 Li
0.750 0.750 0.750 Li
0.000 0.000 0.500 Eu
0.000 0.500 0.000 Eu
0.500 0.000 0.000 Eu
0.500 0.500 0.500 Eu
0.250 0.250 0.250 Zn
0.250 0.750 0.750 Zn
0.750 0.250 0.750 Zn
0.750 0.750 0.250 Zn



# 2
NaZn3Au (GGA-PBE, relaxed); energy of formation from the pure elements = 0.002 eV/atom; space-group type = Pm-3m (221)
1.0
4.959 0.000 0.000
0.000 4.959 0.000
0.000 0.000 4.959
Na Zn Au
1 3 1
direct
0.000 0.000 0.000 Na
0.000 0.500 0.500 Zn
0.500 0.000 0.500 Zn
0.500 0.500 0.000 Zn
0.500 0.500 0.500 Au



# 3
Hf8Ti2Sn (GGA-PBE, relaxed); energy of formation from the pure elements = 0.097 eV/atom; space-group type = C2/m (12)
1.0
3.838 -6.724 0.000
3.838 6.724 0.000
-2.084 0.000 4.707
Hf Ti Sn
8 2 1
direct
0.097 0.327 0.651 Hf
0.222 0.778 0.000 Hf
0.327 0.097 0.651 Hf
0.413 0.413 0.212 Hf
0.587 0.587 0.788 Hf
0.673 0.903 0.349 Hf
0.778 0.222 0.000 Hf
0.903 0.673 0.349 Hf
0.299 0.701 0.500 Ti
0.701 0.299 0.500 Ti
0.000 0.000 0.000 Sn



# 4
Cr2RuAu (GGA-PBE, relaxed); energy of formation from the pure elements = 0.261 eV/atom; space-group type = Cm (8)
1.0
9.102 0.000 0.000
0.000 2.850 0.000
-1.247 0.000 4.446
Cr Ru Au
4 2 2
direct
0.000 0.000 0.000 Cr
0.224 0.500 0.255 Cr
0.500 0.500 0.000 Cr
0.724 0.000 0.255 Cr
0.260 0.000 0.811 Ru
0.760 0.500 0.811 Ru
0.489 0.000 0.500 Au
0.989 0.500 0.500 Au



Q: What is the energy of formation from the pure elements in the third record?
A: 0.097 eV/atom



Q: Which formula does entry 3 have?
A: Hf8Ti2Sn